Record 1
VASP calculation (meta-GGA SCAN) on a PBEsol-optimized structure of Ba2CoPt.

ΔH_f (0 K): 119 kJ/mol of formula units
DFT total energy: -41.340 eV/atom

Lattice parameters (Å, degrees): 5.1536 5.1536 5.1536 60.00 60.00 60.00
Closest atoms and distances in Å follow each position.
Fractional coordinates of all 4 atoms:
Co 0.5000 0.5000 0.5000  4 Ba 3.16, 4 Pt 3.16
Ba 0.0000 0.0000 0.0000  4 Pt 3.16, 4 Ba 3.16
Ba 0.7500 0.7500 0.7500  4 Co 3.16, 4 Ba 3.16
Pt 0.2500 0.2500 0.2500  4 Ba 3.16, 4 Co 3.16

=====

Record 2
VASP calculation (meta-GGA SCAN) on a PBEsol-optimized structure of K2ZnGeO4.

E_form (uncorrected): -15.04 eV/f.u.
DFT total energy: -11.153 eV/atom

Lattice parameters (Å, degrees): 5.5228 11.0783 15.8263 90.00 90.00 90.00
Closest atoms and distances in Å follow each position.
Fractional coordinates of all 64 atoms:
K 0.0505 0.2650 0.9945  5 O 2.68-2.98
K 0.9495 0.7350 0.4945  5 O 2.68-2.98
K 0.9495 0.7650 0.9945  5 O 2.68-2.98
K 0.0505 0.2350 0.4945  5 O 2.68-2.98
K 0.5508 0.2690 0.1279  4 O 2.75-2.82
K 0.4492 0.7310 0.6279  4 O 2.75-2.82
K 0.4492 0.7690 0.1279  4 O 2.75-2.82
K 0.5508 0.2310 0.6279  4 O 2.75-2.82
K 0.0051 0.4825 0.3738  5 O 2.61-2.85
K 0.9949 0.5175 0.8738  5 O 2.61-2.85
K 0.9949 0.9825 0.3738  5 O 2.61-2.85
K 0.5087 0.0167 0.2526  5 O 2.59-2.82
K 0.5087 0.4833 0.7526  5 O 2.59-2.82
K 0.4913 0.5167 0.2526  5 O 2.59-2.82
K 0.4913 0.9833 0.7526  5 O 2.59-2.82
K 0.0051 0.0175 0.8738  5 O 2.61-2.85
Zn 0.5138 0.4904 0.5018  4 O 1.96
Zn 0.9649 0.7610 0.2477  4 O 1.95-1.98
Zn 0.9649 0.7390 0.7477  4 O 1.95-1.98
Zn 0.0351 0.2610 0.2477  4 O 1.95-1.98
Zn 0.5138 0.0096 0.0018  4 O 1.96
Zn 0.4862 0.9904 0.5018  4 O 1.96
Zn 0.4862 0.5096 0.0018  4 O 1.96
Zn 0.0351 0.2390 0.7477  4 O 1.95-1.98
Ge 0.0178 0.0098 0.1236  4 O 1.77-1.78
Ge 0.9822 0.9902 0.6236  4 O 1.77-1.78
Ge 0.9822 0.5098 0.1236  4 O 1.77-1.78
Ge 0.0178 0.4902 0.6236  4 O 1.77-1.78
Ge 0.5328 0.2361 0.3777  4 O 1.77-1.78
Ge 0.4672 0.7639 0.8777  4 O 1.77-1.78
Ge 0.4672 0.7361 0.3777  4 O 1.77-1.78
Ge 0.5328 0.2639 0.8777  4 O 1.77-1.78
O 0.2947 0.4860 0.1049  1 Ge 1.77, 1 Zn 1.96
O 0.7053 0.5140 0.6049  1 Ge 1.77, 1 Zn 1.96
O 0.7053 0.9860 0.1049  1 Ge 1.77, 1 Zn 1.96
O 0.2947 0.0140 0.6049  1 Ge 1.77, 1 Zn 1.96
O 0.8229 0.4722 0.0298  1 Ge 1.78, 1 Zn 1.96
O 0.1771 0.5278 0.5298  1 Ge 1.78, 1 Zn 1.96
O 0.1771 0.9722 0.0298  1 Ge 1.78, 1 Zn 1.96
O 0.8229 0.0278 0.5298  1 Ge 1.78, 1 Zn 1.96
O 0.3901 0.3996 0.9108  1 Ge 1.78, 1 Zn 1.96
O 0.6099 0.6004 0.4108  1 Ge 1.78, 1 Zn 1.96
O 0.6099 0.8996 0.9108  1 Ge 1.78, 1 Zn 1.96
O 0.3901 0.1004 0.4108  1 Ge 1.78, 1 Zn 1.96
O 0.8963 0.4158 0.2090  1 Ge 1.77, 1 Zn 1.98
O 0.1037 0.5842 0.7090  1 Ge 1.77, 1 Zn 1.98
O 0.1037 0.9158 0.2090  1 Ge 1.77, 1 Zn 1.98
O 0.0942 0.1613 0.1485  1 Ge 1.77, 1 Zn 1.95
O 0.8071 0.3071 0.8288  1 Ge 1.77, 1 Zn 1.95
O 0.1929 0.6929 0.3288  1 Ge 1.77, 1 Zn 1.95
O 0.1929 0.8071 0.8288  1 Ge 1.77, 1 Zn 1.95
O 0.8071 0.1929 0.3288  1 Ge 1.77, 1 Zn 1.95
O 0.3347 0.3091 0.3066  1 Ge 1.77, 1 Zn 1.97
O 0.6653 0.6909 0.8066  1 Ge 1.77, 1 Zn 1.97
O 0.6653 0.8091 0.3066  1 Ge 1.77, 1 Zn 1.97
O 0.3347 0.1909 0.8066  1 Ge 1.77, 1 Zn 1.97
O 0.5942 0.3254 0.4678  1 Ge 1.77, 1 Zn 1.96
O 0.4058 0.6746 0.9678  1 Ge 1.77, 1 Zn 1.96
O 0.4058 0.8254 0.4678  1 Ge 1.77, 1 Zn 1.96
O 0.5942 0.1746 0.9678  1 Ge 1.77, 1 Zn 1.96
O 0.0942 0.3387 0.6485  1 Ge 1.77, 1 Zn 1.95
O 0.9058 0.6613 0.1485  1 Ge 1.77, 1 Zn 1.95
O 0.9058 0.8387 0.6485  1 Ge 1.77, 1 Zn 1.95
O 0.8963 0.0842 0.7090  1 Ge 1.77, 1 Zn 1.98

=====

Record 3
VASP calculation (meta-GGA SCAN) on a PBEsol-optimized structure of CoHgRh3.

ΔH_f (0 K): 441 kJ/mol of formula units
DFT total energy: -36.442 eV/atom

Lattice parameters (Å, degrees): 4.3985 4.3985 4.3985 90.00 90.00 90.00
Closest atoms and distances in Å follow each position.
Fractional coordinates of all 5 atoms:
Co 0.0000 0.0000 0.0000  6 Rh 2.20
Rh 0.0000 0.5000 0.0000  2 Co 2.20
Rh 0.0000 0.0000 0.5000  2 Co 2.20
Rh 0.5000 0.0000 0.0000  2 Co 2.20
Hg 0.5000 0.5000 0.5000  12 Rh 3.11

=====

Record 4
VASP calculation (meta-GGA SCAN) on a PBEsol-optimized structure of SrBeSb2.

E_form (uncorrected): -0.50 eV/f.u.
DFT total energy: -25.413 eV/atom

Lattice parameters (Å, degrees): 4.6031 4.6031 6.1896 68.17 68.17 60.00
Closest atoms and distances in Å follow each position.
Fractional coordinates of all 4 atoms:
Sb 0.2861 0.2861 0.1416  3 Be 2.77, 3 Sb 3.09
Sb 0.7139 0.7139 0.8584  3 Be 2.77, 3 Sb 3.09
Sr 0.5000 0.5000 0.5000  8 Sb 3.33-3.59
Be 0.0000 0.0000 0.0000  6 Sb 2.77

=====

Record 5
VASP calculation (meta-GGA SCAN) on a PBEsol-optimized structure of VRh3.

ΔH_f (0 K): -173 kJ/mol of formula units
DFT total energy: -30.150 eV/atom

Lattice parameters (Å, degrees): 3.7496 3.7496 3.7496 90.00 90.00 90.00
Closest atoms and distances in Å follow each position.
Fractional coordinates of all 4 atoms:
Rh 0.5000 0.5000 0.0000  8 Rh 2.65, 4 V 2.65
Rh 0.5000 0.0000 0.5000  8 Rh 2.65, 4 V 2.65
Rh 0.0000 0.5000 0.5000  8 Rh 2.65, 4 V 2.65
V 0.0000 0.0000 0.0000  12 Rh 2.65

=====

Record 6
VASP calculation (meta-GGA SCAN) on a PBEsol-optimized structure of NiSb3F.

E_form (uncorrected): 2.14 eV/f.u.
DFT total energy: -25.872 eV/atom

Lattice parameters (Å, degrees): 4.7363 4.7363 4.7363 90.00 90.00 90.00
Closest atoms and distances in Å follow each position.
Fractional coordinates of all 5 atoms:
Sb 0.0000 0.5000 0.0000  2 F 2.37
Sb 0.0000 0.0000 0.5000  2 F 2.37
Sb 0.5000 0.0000 0.0000  2 F 2.37
F 0.0000 0.0000 0.0000  6 Sb 2.37
Ni 0.5000 0.5000 0.5000  12 Sb 3.35

=====

Record 7
VASP calculation (meta-GGA SCAN) on a PBEsol-optimized structure of Rb3PSe.

E_form (uncorrected): -1.61 eV/f.u.
DFT total energy: -18.860 eV/atom

Lattice parameters (Å, degrees): 6.4224 6.4224 6.4224 90.00 90.00 90.00
Closest atoms and distances in Å follow each position.
Fractional coordinates of all 5 atoms:
P 0.5000 0.5000 0.5000  12 Rb 4.54
Se 0.0000 0.0000 0.0000  6 Rb 3.21
Rb 0.0000 0.5000 0.0000  2 Se 3.21
Rb 0.0000 0.0000 0.5000  2 Se 3.21
Rb 0.5000 0.0000 0.0000  2 Se 3.21

=====

Record 8
VASP calculation (meta-GGA SCAN) on a PBEsol-optimized structure of Sr2CaAsOs.

ΔH_f (0 K): 228 kJ/mol of formula units
DFT total energy: -28.783 eV/atom

Lattice parameters (Å, degrees): 5.3495 5.7161 5.7161 90.00 90.00 90.00
Closest atoms and distances in Å follow each position.
Fractional coordinates of all 5 atoms:
Sr 0.0000 0.0000 0.5000  2 As 2.86
Sr 0.0000 0.5000 0.0000  2 As 2.86
As 0.0000 0.0000 0.0000  2 Ca 2.67, 4 Sr 2.86
Os 0.5000 0.5000 0.5000  8 Sr 3.91, 4 Ca 4.04
Ca 0.5000 0.0000 0.0000  2 As 2.67

=====

Record 9
VASP calculation (meta-GGA SCAN) on a PBEsol-optimized structure of MgSbCl2.

E_form (uncorrected): -1.33 eV/f.u.
DFT total energy: -14.879 eV/atom

Lattice parameters (Å, degrees): 3.2736 5.3442 5.3442 108.89 90.00 90.00
Closest atoms and distances in Å follow each position.
Fractional coordinates of all 4 atoms:
Cl 0.0000 0.5000 0.0000  4 Cl 3.11-3.27, 4 Mg 3.13, 4 Sb 3.13
Cl 0.0000 0.0000 0.5000  4 Cl 3.11-3.27, 4 Sb 3.13, 4 Mg 3.13
Mg 0.5000 0.0000 0.0000  2 Sb 3.11, 8 Cl 3.13, 2 Mg 3.27
Sb 0.5000 0.5000 0.5000  2 Mg 3.11, 8 Cl 3.13, 2 Sb 3.27

=====

Record 10
VASP calculation (meta-GGA SCAN) on a PBEsol-optimized structure of AlC3Se.

E_form (uncorrected): 12.57 eV/f.u.
DFT total energy: -9.112 eV/atom

Lattice parameters (Å, degrees): 3.9510 3.9510 3.9510 90.00 90.00 90.00
Closest atoms and distances in Å follow each position.
Fractional coordinates of all 5 atoms:
C 0.0000 0.5000 0.0000  2 Al 1.98
C 0.0000 0.0000 0.5000  2 Al 1.98
C 0.5000 0.0000 0.0000  2 Al 1.98
Al 0.0000 0.0000 0.0000  6 C 1.98
Se 0.5000 0.5000 0.5000  12 C 2.79

=====

Record 11
VASP calculation (meta-GGA SCAN) on a PBEsol-optimized structure of CsCd2Rh.

ΔH_f (0 K): 269 kJ/mol of formula units
DFT total energy: -32.405 eV/atom

Lattice parameters (Å, degrees): 5.2107 5.2107 5.2107 60.00 60.00 60.00
Closest atoms and distances in Å follow each position.
Fractional coordinates of all 4 atoms:
Cs 0.5000 0.5000 0.5000  8 Cd 3.19
Rh 0.0000 0.0000 0.0000  8 Cd 3.19
Cd 0.2500 0.2500 0.2500  4 Rh 3.19, 4 Cs 3.19
Cd 0.7500 0.7500 0.7500  4 Cs 3.19, 4 Rh 3.19

=====

Record 12
VASP calculation (meta-GGA SCAN) on a PBEsol-optimized structure of ScFeGe.

ΔH_f (0 K): -176 kJ/mol of formula units
DFT total energy: -17.758 eV/atom

Lattice parameters (Å, degrees): 3.8746 6.3736 6.3736 120.00 90.00 90.00
Closest atoms and distances in Å follow each position.
Fractional coordinates of all 9 atoms:
Sc 0.5000 0.4228 0.4228  5 Ge 2.69-2.72, 2 Fe 2.95
Sc 0.5000 0.5772 0.0000  5 Ge 2.69-2.72, 2 Fe 2.95
Sc 0.5000 0.0000 0.5772  5 Ge 2.69-2.72, 2 Fe 2.95
Fe 0.0000 0.7725 0.7725  4 Ge 2.42-2.53, 2 Fe 2.51
Fe 0.0000 0.2275 0.0000  4 Ge 2.42-2.53, 2 Fe 2.51
Fe 0.0000 0.0000 0.2275  4 Ge 2.42-2.53, 2 Fe 2.51
Ge 0.5000 0.0000 0.0000  6 Fe 2.42, 3 Sc 2.69
Ge 0.0000 0.6667 0.3333  3 Fe 2.53, 6 Sc 2.72
Ge 0.0000 0.3333 0.6667  3 Fe 2.53, 6 Sc 2.72